# 1
# LaBeAs2

A relaxed structure of LaBeAs2 (PBE-GGA, Alexandria via LeMat-Bulk).

a b c (Å): 4.0001 4.0001 10.1375
angles (deg): 90.00 90.00 90.00
Atoms (fractional coordinates):
1 La 0.0000 0.5000 0.2657
2 La 0.5000 0.0000 0.7343
3 Be 0.5000 0.5000 0.0000
4 Be 0.0000 0.0000 0.0000
5 As 0.5000 0.0000 0.1242
6 As 0.0000 0.5000 0.8758
7 As 0.0000 0.0000 0.5000
8 As 0.5000 0.5000 0.5000

Output
calculated volume	81	Å³/f.u.
E	-5.259	eV/atom
E_form	-771	meV/atom

# 2
# PmBN2F

A relaxed structure of PmBN2F (PBE-GGA, Alexandria via LeMat-Bulk).

a b c (Å): 3.9369 7.0835 6.1905
angles (deg): 100.26 90.00 90.00
Each line ends with the local moment (μB).
Atoms (fractional coordinates):
1 Pm 0.2500 0.8954 0.7186  0.01
2 Pm 0.7500 0.1046 0.2814  0.01
3 B 0.2500 0.3547 0.5798  -0.01
4 B 0.7500 0.6453 0.4202  -0.01
5 N 0.7500 0.8366 0.4695  0.04
6 N 0.2500 0.1634 0.5305  0.04
7 N 0.7500 0.4509 0.3567  0.67
8 N 0.2500 0.5491 0.6433  0.67
9 F 0.2500 0.1216 0.0539  0.01
10 F 0.7500 0.8784 0.9461  0.01

Output
calculated volume	85	Å³/f.u.
energy relative to the elements, uncorrected	-1457	meV/atom
E	-7.447	eV/atom

# 3
# Re2MoRh

A relaxed structure of Re2MoRh (PBE-GGA, Alexandria via LeMat-Bulk).

a b c (Å): 3.9442 3.8921 3.8921
angles (deg): 90.00 90.00 90.00
Atoms (fractional coordinates):
1 Re 0.0000 0.0000 0.0000
2 Re 0.0000 0.5000 0.5000
3 Mo 0.5000 0.0000 0.5000
4 Rh 0.5000 0.5000 0.0000

Output
calculated volume	60	Å³/f.u.
polymorph energy (0 for the lowest one)	0	meV/atom
E	-10.808	eV/atom
E_form	-38	meV/atom

# 4
# ScBe3

A relaxed structure of ScBe3 (PBE-GGA, Alexandria via LeMat-Bulk).

a b c (Å): 2.6104 2.6104 8.1934
angles (deg): 90.00 90.00 120.00
Atoms (fractional coordinates):
1 Sc 0.6667 0.3333 0.7500
2 Be 0.0000 0.0000 0.0401
3 Be 0.0000 0.0000 0.4599
4 Be 0.6667 0.3333 0.2500

Output
calculated volume	48	Å³/f.u.
polymorph energy (0 for the lowest one)	619	meV/atom
E	-3.893	eV/atom
E_form	485	meV/atom

# 5
# Cd2InI5

A relaxed structure of Cd2InI5 (PBE-GGA, Alexandria via LeMat-Bulk).

a b c (Å): 6.5001 9.7285 14.6096
angles (deg): 90.00 90.00 109.52
Atoms (fractional coordinates):
1 Cd 0.2182 0.4364 0.5959
2 Cd 0.7818 0.5636 0.4041
3 Cd 0.7818 0.5636 0.0959
4 Cd 0.2182 0.4364 0.9041
5 In 0.9412 0.8824 0.7500
6 In 0.0588 0.1176 0.2500
7 I 0.6840 0.3679 0.2500
8 I 0.3160 0.6321 0.7500
9 I 0.2735 0.5471 0.0844
10 I 0.7265 0.4529 0.9156
11 I 0.7265 0.4529 0.5844
12 I 0.2735 0.5471 0.4156
13 I 0.0673 0.1346 0.6026
14 I 0.9327 0.8654 0.3975
15 I 0.0673 0.1346 0.8974
16 I 0.9327 0.8654 0.1026

Output
calculated volume	435	Å³/f.u.
energy relative to the elements, uncorrected	-473	meV/atom
E	-2.013	eV/atom

# 6
# NbGeBPb2

A relaxed structure of NbGeBPb2 (PBE-GGA, Alexandria via LeMat-Bulk).

a b c (Å): 5.5682 3.6126 5.5682
angles (deg): 90.00 90.00 90.00
Each line ends with the local moment (μB).
Atoms (fractional coordinates):
1 Pb 0.0000 0.0000 0.5000  -0.01
2 Pb 0.5000 0.0000 0.0000  -0.02
3 Nb 0.5000 0.5000 0.5000  1.13
4 B 0.0000 0.0000 0.0000  0.09
5 Ge 0.0000 0.5000 0.0000  -0.01

Output
calculated volume	112	Å³/f.u.
E	-4.731	eV/atom
E_form	1026	meV/atom

# 7
# Cs3GaBr6

A relaxed structure of Cs3GaBr6 (PBE-GGA, Alexandria via LeMat-Bulk).

a b c (Å): 8.4405 8.4405 8.4405
angles (deg): 60.00 60.00 60.00
Atoms (fractional coordinates):
1 Cs 0.2500 0.2500 0.2500
2 Cs 0.7500 0.7500 0.7500
3 Cs 0.0000 0.0000 0.0000
4 Ga 0.5000 0.5000 0.5000
5 Br 0.2844 0.7156 0.7156
6 Br 0.7156 0.2844 0.7156
7 Br 0.2844 0.7156 0.2844
8 Br 0.2844 0.2844 0.7156
9 Br 0.7156 0.7156 0.2844
10 Br 0.7156 0.2844 0.2844

Output
calculated volume	425	Å³/f.u.
energy relative to the elements, uncorrected	-1358	meV/atom
E	-2.920	eV/atom

# 8
# Cd2RhO

A relaxed structure of Cd2RhO (PBE-GGA, Alexandria via LeMat-Bulk).

a b c (Å): 6.9812 6.9812 5.6171
angles (deg): 51.58 51.58 90.00
Atoms (fractional coordinates):
1 Rh 0.0000 0.0000 0.0000
2 Rh 0.7500 0.2500 0.5000
3 O 0.5000 0.5000 0.0000
4 O 0.2500 0.7500 0.5000
5 Cd 0.5640 0.1250 0.2500
6 Cd 0.1860 0.6250 0.2500
7 Cd 0.3750 0.4360 0.7500
8 Cd 0.8750 0.8140 0.7500

Output
calculated volume	65	Å³/f.u.
energy relative to the elements, uncorrected	-93	meV/atom
E	-3.628	eV/atom

# 9
# YMg2Cu2

A relaxed structure of YMg2Cu2 (PBE-GGA, Alexandria via LeMat-Bulk).

a b c (Å): 8.7645 8.7645 6.6350
angles (deg): 79.65 79.65 24.15
Atoms (fractional coordinates):
1 Y 0.0693 0.0693 0.4338
2 Y 0.9154 0.9154 0.8904
3 Mg 0.1270 0.1270 0.9264
4 Mg 0.8851 0.8851 0.4024
5 Mg 0.2761 0.2761 0.1751
6 Mg 0.7114 0.7114 0.5739
7 Cu 0.3035 0.3035 0.7317
8 Cu 0.6654 0.6654 0.1782
9 Cu 0.4991 0.4991 0.1521
10 Cu 0.5477 0.5477 0.7680

Output
calculated volume	102	Å³/f.u.
polymorph energy (0 for the lowest one)	112	meV/atom
E	-3.610	eV/atom
E_form	-41	meV/atom

# 10
# BaBiO2F

A relaxed structure of BaBiO2F (PBE-GGA, Alexandria via LeMat-Bulk).

a b c (Å): 4.6000 4.6000 4.5974
angles (deg): 90.00 90.00 90.00
Atoms (fractional coordinates):
1 F 0.0000 0.0000 0.5000
2 Bi 0.0000 0.0000 0.0000
3 O 0.0000 0.5000 0.0000
4 O 0.5000 0.0000 0.0000
5 Ba 0.5000 0.5000 0.5000

Output
calculated volume	97	Å³/f.u.
energy relative to the elements, uncorrected	-2040	meV/atom
E	-5.558	eV/atom

# 11
# CoTeW2

A relaxed structure of CoTeW2 (PBE-GGA, Alexandria via LeMat-Bulk).

a b c (Å): 4.8438 4.8438 4.8438
angles (deg): 130.70 130.70 72.28
Each line ends with the local moment (μB).
Atoms (fractional coordinates):
1 Co 0.5000 0.5000 0.0000  0.81
2 Te 0.7500 0.2500 0.5000  0.01
3 W 0.0000 0.0000 0.0000  0.03
4 W 0.2500 0.7500 0.5000  0.31

Output
calculated volume	64	Å³/f.u.
energy relative to the elements, uncorrected	702	meV/atom
E	-8.337	eV/atom

# 12
# La2AlTe

A relaxed structure of La2AlTe (PBE-GGA, Alexandria via LeMat-Bulk).

a b c (Å): 5.5139 5.5139 3.8970
angles (deg): 90.00 90.00 102.29
Atoms (fractional coordinates):
1 Te 0.5000 0.0000 0.5000
2 Al 0.0000 0.5000 0.5000
3 La 0.0000 0.0000 0.0000
4 La 0.5000 0.5000 0.0000

Output
calculated volume	116	Å³/f.u.
energy relative to the elements, uncorrected	-793	meV/atom
polymorph energy (0 for the lowest one)	179	meV/atom
E	-4.978	eV/atom

# 13
# Mg2Br

A relaxed structure of Mg2Br (PBE-GGA, Alexandria via LeMat-Bulk).

a b c (Å): 5.2062 5.2062 5.2062
angles (deg): 60.00 60.00 60.00
Atoms (fractional coordinates):
1 Br 0.0000 0.0000 0.0000
2 Mg 0.7500 0.7500 0.7500
3 Mg 0.2500 0.2500 0.2500

Output
calculated volume	100	Å³/f.u.
energy relative to the elements, uncorrected	165	meV/atom
polymorph energy (0 for the lowest one)	680	meV/atom
E	-1.455	eV/atom

# 14
# Hf4BS

A relaxed structure of Hf4BS (PBE-GGA, Alexandria via LeMat-Bulk).

a b c (Å): 3.3975 5.9935 10.9781
angles (deg): 91.45 90.00 90.00
Atoms (fractional coordinates):
1 Hf 0.5000 0.1427 0.3716
2 Hf 0.0000 0.3573 0.1284
3 Hf 0.5000 0.8573 0.6284
4 Hf 0.0000 0.6427 0.8716
5 Hf 0.0000 0.6863 0.3658
6 Hf 0.5000 0.8137 0.1342
7 Hf 0.0000 0.3137 0.6342
8 Hf 0.5000 0.1863 0.8658
9 B 0.0000 0.0000 0.5000
10 B 0.5000 0.5000 0.0000
11 S 0.5000 0.5000 0.5000
12 S 0.0000 0.0000 0.0000

Output
calculated volume	112	Å³/f.u.
energy relative to the elements, uncorrected	-702	meV/atom
E	-9.139	eV/atom

# 15
# Sr2Ca4Ir

A relaxed structure of Sr2Ca4Ir (PBE-GGA, Alexandria via LeMat-Bulk).

a b c (Å): 5.5664 5.5664 10.7385
angles (deg): 74.98 74.98 90.00
Atoms (fractional coordinates):
1 Sr 0.6708 0.6708 0.6584
2 Sr 0.3292 0.3292 0.3416
3 Ca 0.8649 0.8649 0.2702
4 Ca 0.1351 0.1351 0.7298
5 Ca 0.0000 0.5000 0.0000
6 Ca 0.5000 0.0000 0.0000
7 Ir 0.0000 0.0000 0.0000

Output
calculated volume	310	Å³/f.u.
E	-2.946	eV/atom
E_form	-56	meV/atom

# 16
# Mn2CdSnBi

A relaxed structure of Mn2CdSnBi (PBE-GGA, Alexandria via LeMat-Bulk).

a b c (Å): 5.3279 6.2256 5.3279
angles (deg): 90.00 90.00 90.00
Each line ends with the local moment (μB).
Atoms (fractional coordinates):
1 Cd 0.5000 0.5000 0.5000  0.01
2 Bi 0.0000 0.0000 0.0000  -0.12
3 Mn 0.0000 0.0000 0.5000  4.15
4 Mn 0.5000 0.0000 0.0000  3.96
5 Sn 0.0000 0.5000 0.0000  -0.08

Output
calculated volume	177	Å³/f.u.
E	-4.414	eV/atom
E_form	1013	meV/atom

# 17
# Cr2ReP

A relaxed structure of Cr2ReP (PBE-GGA, Alexandria via LeMat-Bulk).

a b c (Å): 4.1201 4.1201 4.1201
angles (deg): 60.00 60.00 60.00
Each line ends with the local moment (μB).
Atoms (fractional coordinates):
1 Cr 0.0000 0.0000 0.0000  1.43
2 Cr 0.2500 0.2500 0.2500  -0.58
3 P 0.5000 0.5000 0.5000  0.04
4 Re 0.7500 0.7500 0.7500  -0.16

Output
calculated volume	49	Å³/f.u.
E	-9.266	eV/atom
E_form	10	meV/atom

# 18
# In2PSe

A relaxed structure of In2PSe (PBE-GGA, Alexandria via LeMat-Bulk).

a b c (Å): 5.7758 5.7758 5.7758
angles (deg): 140.88 94.79 98.09
Atoms (fractional coordinates):
1 In 0.7339 0.7339 0.0000
2 In 0.2661 0.2661 0.0000
3 P 0.5000 0.0000 0.5000
4 Se 0.0000 0.5000 0.5000

Output
calculated volume	114	Å³/f.u.
energy relative to the elements, uncorrected	63	meV/atom
polymorph energy (0 for the lowest one)	331	meV/atom
E	-3.530	eV/atom

# 19
# MgZr2CrB

A relaxed structure of MgZr2CrB (PBE-GGA, Alexandria via LeMat-Bulk).

a b c (Å): 4.9691 3.8730 4.9691
angles (deg): 90.00 90.00 90.00
Atoms (fractional coordinates):
1 Cr 0.5000 0.5000 0.5000
2 Mg 0.0000 0.0000 0.0000
3 B 0.0000 0.5000 0.0000
4 Zr 0.0000 0.0000 0.5000
5 Zr 0.5000 0.0000 0.0000

Output
calculated volume	96	Å³/f.u.
E	-5.288	eV/atom
E_form	1710	meV/atom

# 20
# AlTl2Cr

A relaxed structure of AlTl2Cr (PBE-GGA, Alexandria via LeMat-Bulk).

a b c (Å): 9.1238 9.1238 6.9582
angles (deg): 49.03 49.03 90.00
Each line ends with the local moment (μB).
Atoms (fractional coordinates):
1 Cr 0.0000 0.0000 0.0000  3.41
2 Cr 0.7500 0.2500 0.5000  3.40
3 Tl 0.7200 0.1250 0.2500  -0.02
4 Tl 0.0300 0.6250 0.2500  -0.01
5 Tl 0.3750 0.2800 0.7500  -0.01
6 Tl 0.8750 0.9700 0.7500  -0.01
7 Al 0.5000 0.5000 0.0000  -0.04
8 Al 0.2500 0.7500 0.5000  -0.04

Output
calculated volume	108	Å³/f.u.
polymorph energy (0 for the lowest one)	348	meV/atom
E	-3.861	eV/atom
E_form	664	meV/atom

Density (computed, g/cm³): 6.10 3.97 15.88 2.47 3.72 8.76 3.70 8.74 4.29 6.78 14.41 6.20 2.14 11.25 2.83 5.17 10.78 4.92 4.68 7.47